(1)
VASP calculation (GGA-PBE) on a relaxed structure of PmPrDy2Ho5.

Calculated values
Density in g cm⁻³: 8.165
Energy of formation from the pure elements in kcal/mol of atoms: 6.40
Spin magnetization in μB per cell: 0.000

a = 8.781 Å, b = 8.781 Å, c = 15.144 Å
α = 90.00°, β = 90.00°, γ = 90.00°
Space group I4/mcm (No. 140)
One atom of each set of equivalent atoms:
Pm 0.000 0.000 0.250
Pr 0.000 0.500 0.250
Dy 0.116 0.384 0.000
Ho 0.000 0.000 0.000
Ho 0.204 0.296 0.367

---

(2)
VASP calculation (GGA-PBE) on a relaxed structure of Pm2Pr2DyHo4.

Calculated values
Density in g cm⁻³: 7.798
Energy of formation from the pure elements in kcal/mol of atoms: 0.10
Spin magnetization in μB per cell: 0.000

a = 18.823 Å, b = 3.630 Å, c = 9.648 Å
α = 90.00°, β = 115.75°, γ = 90.00°
Space group C2/m (No. 12)
One atom of each set of equivalent atoms:
Pm 0.147 0.000 0.162
Pr 0.165 0.500 0.501
Dy 0.000 0.000 0.500
Ho 0.020 0.500 0.832
Ho 0.185 0.000 0.836

---

(3)
VASP calculation (GGA-PBE) on a relaxed structure of Pm2Pr4DyHo.

Calculated values
Density in g cm⁻³: 7.117
Energy of formation from the pure elements in kcal/mol of atoms: 0.32
Spin magnetization in μB per cell: 0.000

a = 5.171 Å, b = 5.201 Å, c = 10.245 Å
α = 90.00°, β = 90.09°, γ = 90.00°
Space group P2/m (No. 10)
One atom of each set of equivalent atoms:
Pm 0.000 0.000 0.000
Pm 0.500 0.500 0.500
Pr 0.000 0.500 0.249
Pr 0.500 0.000 0.250
Dy 0.000 0.000 0.500
Ho 0.500 0.500 0.000

---

(4)
VASP calculation (GGA-PBE) on a relaxed structure of Pm4PrDy2Ho2.

Calculated values
Density in g cm⁻³: 7.672
Energy of formation from the pure elements in kcal/mol of atoms: 0.40
Spin magnetization in μB per cell: 0.000

a = 15.303 Å, b = 5.087 Å, c = 8.060 Å
α = 90.00°, β = 108.35°, γ = 90.00°
Space group C2/m (No. 12)
One atom of each set of equivalent atoms:
Pm 0.055 0.000 0.333
Pm 0.223 0.500 0.332
Pr 0.000 0.500 0.000
Dy 0.111 0.500 0.667
Ho 0.168 0.000 0.999

---

(5)
VASP calculation (GGA-PBE) on a relaxed structure of Pm2PrDy2Ho.

Calculated values
Density in g cm⁻³: 7.553
Energy of formation from the pure elements in kcal/mol of atoms: 6.06
Spin magnetization in μB per cell: 0.000

a = 6.665 Å, b = 17.786 Å, c = 3.415 Å
α = 90.00°, β = 90.00°, γ = 90.00°
Space group Pnnm (No. 58)
One atom of each set of equivalent atoms:
Pm 0.225 0.151 0.000
Pr 0.000 0.500 0.500
Dy 0.231 0.320 0.500
Ho 0.000 0.000 0.500

---

(6)
VASP calculation (GGA-PBE) on a relaxed structure of Pm6Pr2DyHo.

Calculated values
Density in g cm⁻³: 7.137
Energy of formation from the pure elements in kcal/mol of atoms: 2.65
Spin magnetization in μB per cell: 0.000

a = 9.191 Å, b = 15.351 Å, c = 9.874 Å
α = 90.00°, β = 98.81°, γ = 90.00°
Space group C2/c (No. 15)
One atom of each set of equivalent atoms:
Pm 0.063 0.187 0.444
Pm 0.104 0.396 0.620
Pm 0.203 0.221 0.810
Pr 0.245 0.051 0.042
Dy 0.000 0.018 0.750
Ho 0.000 0.407 0.250